Here is ZnSbTe2 after structural relaxation from Alexandria. Energies are from GGA-PBE.

## Properties
- Total energy: -0.0975 hartree per atom
- Raw formation energy: 1.063 eV per formula unit
- Fermi-level density of states: 2.636 states/eV per cell

Cell and atoms, written as CIF:
```
data_ZnSbTe2
_cell_length_a 5.2588
_cell_length_b 3.7513
_cell_length_c 5.2757
_cell_angle_alpha 90.00
_cell_angle_beta 91.80
_cell_angle_gamma 90.00
_symmetry_space_group_name_H-M 'P 1 2/m 1'
_symmetry_Int_Tables_number 10
loop_
_symmetry_equiv_pos_as_xyz
'x,y,z'
'-x,-y,-z'
'-x,y,-z'
'x,-y,z'
loop_
_atom_site_label
_atom_site_fract_x
_atom_site_fract_y
_atom_site_fract_z
Zn1 0.0000 0.0000 0.0000
Sb1 0.5000 0.5000 0.0000
Te1 0.0000 0.5000 0.5000
Te2 0.5000 0.0000 0.5000
```

Here is Tm4GaRh4 after structural relaxation from Alexandria. Energies are from GGA-PBE.

## Properties
- Total energy: -0.2325 hartree per atom
- Fermi-level density of states: 7.953 states/eV per cell

Cell and atoms, written as CIF:
```
data_Tm4GaRh4
_cell_length_a 8.4160
_cell_length_b 8.4160
_cell_length_c 5.4409
_cell_angle_alpha 90.00
_cell_angle_beta 90.00
_cell_angle_gamma 90.00
_symmetry_space_group_name_H-M 'P 42/n'
_symmetry_Int_Tables_number 86
loop_
_symmetry_equiv_pos_as_xyz
'x,y,z'
'-x,-y,-z'
'-y,x+1/2,z+1/2'
'y,-x+1/2,-z+1/2'
'-x+1/2,-y+1/2,z'
'x+1/2,y+1/2,-z'
'y+1/2,-x,z+1/2'
'-y+1/2,x,-z+1/2'
loop_
_atom_site_label
_atom_site_fract_x
_atom_site_fract_y
_atom_site_fract_z
Tm1 0.0520 0.6802 0.1263
Ga1 0.2500 0.2500 0.2500
Rh1 0.0008 0.3627 0.3725
```

Here is TiCrCuS4 after structural relaxation from Alexandria. Energies are from GGA-PBE.

## Properties
- Total energy: -0.2314 hartree per atom
- Raw formation energy: -5.955 eV per formula unit
- Fermi-level density of states: 0.031 states/eV per cell

Cell and atoms, written as CIF:
```
data_TiCrCuS4
_cell_length_a 11.8701
_cell_length_b 7.0947
_cell_length_c 5.7688
_cell_angle_alpha 90.00
_cell_angle_beta 90.00
_cell_angle_gamma 90.00
_symmetry_space_group_name_H-M 'P n m a'
_symmetry_Int_Tables_number 62
loop_
_symmetry_equiv_pos_as_xyz
'x,y,z'
'-x,-y,-z'
'-x+1/2,-y,z+1/2'
'x+1/2,y,-z+1/2'
'x+1/2,-y+1/2,-z+1/2'
'-x+1/2,y+1/2,z+1/2'
'-x,y+1/2,-z'
'x,-y+1/2,z'
loop_
_atom_site_label
_atom_site_fract_x
_atom_site_fract_y
_atom_site_fract_z
Ti1 0.2474 0.2500 0.0354
Cr1 0.0000 0.0000 0.0000
Cu1 0.0922 0.2500 0.4023
S1 0.0835 0.2500 0.7868
S2 0.0847 0.7500 0.7688
S3 0.1681 0.5098 0.2413
```